No. 1
DyTm2InRh4 | PBE | optimized geometry Values from VASP.

```
&SYSTEM
  ibrav = 0, nat = 8, ntyp = 4
/
ATOMIC_SPECIES
Rh 102.91 Rh.upf
Dy 162.50 Dy.upf
Tm 168.93 Tm.upf
In 114.82 In.upf
CELL_PARAMETERS angstrom
4.745 0.000 0.000
2.373 4.109 0.000
2.373 1.370 7.708
ATOMIC_POSITIONS angstrom
Rh 4.745 2.740 0.984
Rh 4.745 2.740 6.724
Rh 2.373 1.370 4.840
Rh 7.118 4.109 2.868
Dy 0.000 0.000 0.000
Tm 2.373 1.370 2.039
Tm 7.118 4.109 5.670
In 4.745 2.740 3.854
```

## Properties
SG = R-3m
energy relative to the elements = -0.857 eV/atom

***

No. 2
Sr2LiCdPd | PBE | optimized geometry Values from VASP.

```
&SYSTEM
  ibrav = 0, nat = 5, ntyp = 4
/
ATOMIC_SPECIES
Sr 87.62 Sr.upf
Cd 112.41 Cd.upf
Li 6.94 Li.upf
Pd 106.42 Pd.upf
CELL_PARAMETERS angstrom
-5.717 0.935 -1.027
-1.172 -0.911 5.693
0.615 4.734 0.884
ATOMIC_POSITIONS angstrom
Sr -2.858 0.467 -0.514
Sr -0.586 -0.455 2.846
Cd -3.137 2.379 2.775
Li 0.308 2.367 0.442
Pd 0.000 0.000 0.000
```

## Properties
E above lowest polymorph = 0.000 eV per atom
SG = P4/mmm
energy relative to the elements = -0.253 eV/atom

***

No. 3
InTcGe2 | PBE | optimized geometry Values from VASP.

```
&SYSTEM
  ibrav = 0, nat = 4, ntyp = 3
/
ATOMIC_SPECIES
Tc 98.00 Tc.upf
Ge 72.64 Ge.upf
In 114.82 In.upf
CELL_PARAMETERS angstrom
-0.541 -0.966 2.936
-2.153 -2.216 0.551
5.440 -7.451 0.229
ATOMIC_POSITIONS angstrom
Tc 1.373 -5.316 1.858
Ge 3.519 -5.515 0.512
Ge -0.774 -5.118 3.204
In 0.000 0.000 0.000
```

## Properties
SG = R-3m
energy relative to the elements = -0.008 eV/atom

***

No. 4
SrCrIr | PBE | optimized geometry Values from VASP.

```
&SYSTEM
  ibrav = 0, nat = 3, ntyp = 3
/
ATOMIC_SPECIES
Cr 52.00 Cr.upf
Sr 87.62 Sr.upf
Ir 192.22 Ir.upf
CELL_PARAMETERS angstrom
6.106 -0.025 -0.034
4.210 4.423 0.034
-4.949 -2.691 2.358
ATOMIC_POSITIONS angstrom
Cr 9.796 4.176 0.000
Sr 6.922 2.951 0.000
Ir 3.916 1.669 0.000
```

## Properties
E above lowest polymorph = 0.097 eV per atom
SG = Imm2
energy relative to the elements = 0.256 eV/atom

***

No. 5
Sc4IrPt3 | PBE | optimized geometry Values from VASP.

```
&SYSTEM
  ibrav = 0, nat = 8, ntyp = 3
/
ATOMIC_SPECIES
Sc 44.96 Sc.upf
Pt 195.08 Pt.upf
Ir 192.22 Ir.upf
CELL_PARAMETERS angstrom
3.204 0.000 0.000
0.000 4.702 0.000
0.000 0.000 9.404
ATOMIC_POSITIONS angstrom
Sc 0.000 2.351 2.315
Sc 0.000 0.000 0.000
Sc 0.000 0.000 4.702
Sc 0.000 2.351 7.089
Pt 1.602 0.000 2.335
Pt 1.602 2.351 4.702
Pt 1.602 0.000 7.069
Ir 1.602 2.351 0.000
```

## Properties
SG = Pmmm
energy relative to the elements = -1.180 eV/atom

***

No. 6
MgNpCl5 | PBE | optimized geometry Values from VASP.

```
&SYSTEM
  ibrav = 0, nat = 14, ntyp = 3
/
ATOMIC_SPECIES
Np 237.00 Np.upf
Cl 35.45 Cl.upf
Mg 24.30 Mg.upf
CELL_PARAMETERS angstrom
6.835 0.265 -2.758
-0.792 6.795 -2.758
-0.231 -0.269 10.562
ATOMIC_POSITIONS angstrom
Np 3.302 -0.002 3.902
Np 3.417 0.133 -1.379
Cl 1.041 1.412 4.578
Cl 4.793 2.296 4.024
Cl 4.373 4.913 -3.460
Cl 2.990 6.266 3.785
Cl 1.440 1.877 8.507
Cl 4.771 5.378 0.468
Cl 5.456 1.961 -1.256
Cl 0.356 4.829 6.303
Cl 1.019 4.494 1.023
Cl 2.822 0.525 1.262
Mg 5.541 4.315 -1.496
Mg 0.271 2.476 6.542
```

## Properties
SG = C2/c
formation energy (no corrections) = -1.72 eV per atom

***

No. 7
TlCrAg2 | PBE | optimized geometry Values from VASP.

```
&SYSTEM
  ibrav = 0, nat = 4, ntyp = 3
/
ATOMIC_SPECIES
Ag 107.87 Ag.upf
Cr 52.00 Cr.upf
Tl 204.38 Tl.upf
CELL_PARAMETERS angstrom
-0.559 -3.152 -0.782
0.576 -1.253 4.639
-4.324 -0.308 4.336
ATOMIC_POSITIONS angstrom
Ag 0.008 -2.203 1.928
Ag 0.000 0.000 0.000
Cr -2.154 -2.357 4.096
Tl -2.162 -0.154 2.168
```

## Properties
SG = P2/m
energy relative to the elements = 0.380 eV/atom

***

No. 8
Y3NpPd12 | PBE | optimized geometry Values from VASP.

```
&SYSTEM
  ibrav = 0, nat = 16, ntyp = 3
/
ATOMIC_SPECIES
Pd 106.42 Pd.upf
Y 88.91 Y.upf
Np 237.00 Np.upf
CELL_PARAMETERS angstrom
4.134 0.000 0.000
0.000 4.134 0.000
0.000 0.000 16.521
ATOMIC_POSITIONS angstrom
Pd 0.000 2.067 2.010
Pd 2.067 0.000 2.010
Pd 0.000 2.067 6.186
Pd 2.067 0.000 10.334
Pd 2.067 2.067 8.260
Pd 0.000 2.067 10.334
Pd 2.067 2.067 12.411
Pd 0.000 2.067 14.510
Pd 2.067 0.000 14.510
Pd 2.067 2.067 0.000
Pd 2.067 2.067 4.109
Pd 2.067 0.000 6.186
Y 0.000 0.000 12.359
Y 0.000 0.000 8.260
Y 0.000 0.000 4.161
Np 0.000 0.000 0.000
```

## Properties
SG = P4/mmm
energy relative to the elements = -0.757 eV/atom